Entry 1:
DFT (PBE) results for an optimized crystal structure of RbSiSb.

```
data_RbSiSb
_chemical_formula_sum 'Rb1 Si1 Sb1'
_cell_length_a 4.149
_cell_length_b 4.149
_cell_length_c 6.768
_cell_angle_alpha 90.00
_cell_angle_beta 90.00
_cell_angle_gamma 120.00
_space_group_name_H-M_alt 'P 1'
_space_group_IT_number 1
loop_
_space_group_symop_operation_xyz
'x,y,z'
loop_
_atom_site_label
_atom_site_type_symbol
_atom_site_fract_x
_atom_site_fract_y
_atom_site_fract_z
Sb1 Sb 0.000 0.000 0.166
Si1 Si 0.667 0.333 0.980
Rb1 Rb 0.333 0.667 0.601
```

- VASP energy (eV/atom) = -3.60
- total magnetization (μB per atom) = 0.000
- uncorrected formation energy (meV per atom) = -99
- calculated volume (Å³/atom) = 33.63

Entry 2:
DFT (PBE) results for an optimized crystal structure of SrTl2Au2.

```
data_SrTl2Au2
_chemical_formula_sum 'Sr2 Tl4 Au4'
_cell_length_a 8.479
_cell_length_b 8.479
_cell_length_c 3.749
_cell_angle_alpha 90.00
_cell_angle_beta 90.00
_cell_angle_gamma 90.00
_space_group_name_H-M_alt 'P 1'
_space_group_IT_number 1
loop_
_space_group_symop_operation_xyz
'x,y,z'
loop_
_atom_site_label
_atom_site_type_symbol
_atom_site_fract_x
_atom_site_fract_y
_atom_site_fract_z
Sr1 Sr 0.000 0.000 0.000
Sr2 Sr 0.500 0.500 0.000
Tl1 Tl 0.372 0.872 0.000
Tl2 Tl 0.872 0.628 0.000
Tl3 Tl 0.628 0.128 0.000
Tl4 Tl 0.128 0.372 0.000
Au1 Au 0.174 0.674 0.500
Au2 Au 0.674 0.826 0.500
Au3 Au 0.826 0.326 0.500
Au4 Au 0.326 0.174 0.500
```

- VASP energy (eV/atom) = -2.81
- total magnetization (μB per atom) = 0.000
- calculated volume (Å³/atom) = 26.95
- DOS at the Fermi energy (states/eV/cell) = 3.6
- calculated formation energy (eV/f.u.) = -1.061

Entry 3:
DFT (PBE) results for an optimized crystal structure of SrLaMg2.

```
data_SrLaMg2
_chemical_formula_sum 'Sr2 La2 Mg4'
_cell_length_a 9.095
_cell_length_b 9.095
_cell_length_c 7.316
_cell_angle_alpha 51.57
_cell_angle_beta 51.57
_cell_angle_gamma 90.00
_space_group_name_H-M_alt 'P 1'
_space_group_IT_number 1
loop_
_space_group_symop_operation_xyz
'x,y,z'
loop_
_atom_site_label
_atom_site_type_symbol
_atom_site_fract_x
_atom_site_fract_y
_atom_site_fract_z
Sr1 Sr 0.500 0.500 0.000
Sr2 Sr 0.250 0.750 0.500
Mg1 Mg 0.632 0.125 0.250
Mg2 Mg 0.118 0.625 0.250
Mg3 Mg 0.375 0.368 0.750
Mg4 Mg 0.875 0.882 0.750
La1 La 0.000 0.000 0.000
La2 La 0.750 0.250 0.500
```

- VASP energy (eV/atom) = -2.13
- total magnetization (μB per atom) = 0.000
- calculated volume (Å³/atom) = 36.07
- DOS at the Fermi energy (states/eV/cell) = 13.6
- calculated formation energy (eV/f.u.) = 1.259

Entry 4:
DFT (PBE) results for an optimized crystal structure of LiGa6Rh2.

```
data_LiGa6Rh2
_chemical_formula_sum 'Li2 Ga12 Rh4'
_cell_length_a 4.790
_cell_length_b 7.202
_cell_length_c 8.098
_cell_angle_alpha 90.00
_cell_angle_beta 84.45
_cell_angle_gamma 90.00
_space_group_name_H-M_alt 'P 1'
_space_group_IT_number 1
loop_
_space_group_symop_operation_xyz
'x,y,z'
loop_
_atom_site_label
_atom_site_type_symbol
_atom_site_fract_x
_atom_site_fract_y
_atom_site_fract_z
Li1 Li 0.500 0.500 0.000
Li2 Li 0.000 0.000 0.500
Ga1 Ga 0.912 0.975 0.198
Ga2 Ga 0.918 0.665 0.561
Ga3 Ga 0.956 0.683 0.929
Ga4 Ga 0.544 0.183 0.571
Ga5 Ga 0.582 0.165 0.939
Ga6 Ga 0.588 0.475 0.302
Ga7 Ga 0.088 0.025 0.802
Ga8 Ga 0.082 0.335 0.439
Ga9 Ga 0.044 0.317 0.071
Ga10 Ga 0.456 0.817 0.429
Ga11 Ga 0.418 0.835 0.061
Ga12 Ga 0.412 0.525 0.698
Rh1 Rh 0.913 0.377 0.756
Rh2 Rh 0.587 0.877 0.744
Rh3 Rh 0.413 0.123 0.256
Rh4 Rh 0.087 0.623 0.244
```

- VASP energy (eV/atom) = -4.21
- total magnetization (μB per atom) = 0.000
- calculated volume (Å³/atom) = 15.45
- DOS at the Fermi energy (states/eV/cell) = 6.1
- calculated formation energy (eV/f.u.) = -3.094

Entry 5:
DFT (PBE) results for an optimized crystal structure of Tb2Te3H.

```
data_Tb2Te3H
_chemical_formula_sum 'Tb8 Te12 H4'
_cell_length_a 4.064
_cell_length_b 12.794
_cell_length_c 11.655
_cell_angle_alpha 90.00
_cell_angle_beta 90.00
_cell_angle_gamma 90.00
_space_group_name_H-M_alt 'P 1'
_space_group_IT_number 1
loop_
_space_group_symop_operation_xyz
'x,y,z'
loop_
_atom_site_label
_atom_site_type_symbol
_atom_site_fract_x
_atom_site_fract_y
_atom_site_fract_z
Tb1 Tb 0.250 0.675 0.440
Tb2 Tb 0.750 0.325 0.560
Tb3 Tb 0.750 0.175 0.060
Tb4 Tb 0.250 0.825 0.940
Tb5 Tb 0.250 0.020 0.298
Tb6 Tb 0.750 0.980 0.702
Tb7 Tb 0.750 0.520 0.202
Tb8 Tb 0.250 0.480 0.798
Te1 Te 0.250 0.375 0.067
Te2 Te 0.750 0.625 0.933
Te3 Te 0.750 0.875 0.433
Te4 Te 0.250 0.125 0.567
Te5 Te 0.250 0.698 0.176
Te6 Te 0.750 0.302 0.824
Te7 Te 0.750 0.198 0.324
Te8 Te 0.250 0.802 0.676
Te9 Te 0.250 0.436 0.386
Te10 Te 0.750 0.564 0.614
Te11 Te 0.750 0.936 0.114
Te12 Te 0.250 0.064 0.886
H1 H 0.250 0.123 0.138
H2 H 0.750 0.877 0.862
H3 H 0.750 0.623 0.362
H4 H 0.250 0.377 0.638
```

- VASP energy (eV/atom) = -4.75
- total magnetization (μB per atom) = 0.000
- calculated volume (Å³/atom) = 25.25
- DOS at the Fermi energy (states/eV/cell) = 10.8

Entry 6:
DFT (PBE) results for an optimized crystal structure of PrSm4Y.

```
data_PrSm4Y
_chemical_formula_sum 'Pr2 Sm8 Y2'
_cell_length_a 3.635
_cell_length_b 6.283
_cell_length_c 17.829
_cell_angle_alpha 90.09
_cell_angle_beta 90.00
_cell_angle_gamma 90.00
_space_group_name_H-M_alt 'P 1'
_space_group_IT_number 1
loop_
_space_group_symop_operation_xyz
'x,y,z'
loop_
_atom_site_label
_atom_site_type_symbol
_atom_site_fract_x
_atom_site_fract_y
_atom_site_fract_z
Pr1 Pr 0.000 0.000 0.500
Pr2 Pr 0.500 0.500 0.000
Sm1 Sm 0.499 0.167 0.333
Sm2 Sm 0.999 0.333 0.167
Sm3 Sm 0.501 0.833 0.667
Sm4 Sm 0.001 0.667 0.833
Sm5 Sm 0.000 0.668 0.333
Sm6 Sm 0.500 0.832 0.167
Sm7 Sm 0.000 0.332 0.667
Sm8 Sm 0.500 0.168 0.833
Y1 Y 0.500 0.500 0.500
Y2 Y 0.000 0.000 0.000
```

- VASP energy (eV/atom) = -5.01
- total magnetization (μB per atom) = 0.000
- calculated volume (Å³/atom) = 33.93
- DOS at the Fermi energy (states/eV/cell) = 16.9
- calculated formation energy (eV/f.u.) = 0.086

Entry 7:
DFT (PBE) results for an optimized crystal structure of SmYSc3.

```
data_SmYSc3
_chemical_formula_sum 'Sm2 Y2 Sc6'
_cell_length_a 4.805
_cell_length_b 8.963
_cell_length_c 6.778
_cell_angle_alpha 99.88
_cell_angle_beta 90.00
_cell_angle_gamma 105.55
_space_group_name_H-M_alt 'P 1'
_space_group_IT_number 1
loop_
_space_group_symop_operation_xyz
'x,y,z'
loop_
_atom_site_label
_atom_site_type_symbol
_atom_site_fract_x
_atom_site_fract_y
_atom_site_fract_z
Sm1 Sm 0.600 0.201 0.546
Sm2 Sm 0.400 0.799 0.454
Y1 Y 0.800 0.600 0.150
Y2 Y 0.200 0.400 0.850
Sc1 Sc 0.002 0.005 0.243
Sc2 Sc 0.998 0.995 0.757
Sc3 Sc 0.405 0.810 0.953
Sc4 Sc 0.595 0.190 0.047
Sc5 Sc 0.198 0.396 0.346
Sc6 Sc 0.802 0.604 0.654
```

- VASP energy (eV/atom) = -5.97
- total magnetization (μB per atom) = 0.000
- calculated volume (Å³/atom) = 27.68
- DOS at the Fermi energy (states/eV/cell) = 16.5
- calculated formation energy (eV/f.u.) = 0.309

Entry 8:
DFT (PBE) results for an optimized crystal structure of CsGeRhPb.

```
data_CsGeRhPb
_chemical_formula_sum 'Cs2 Ge2 Rh2 Pb2'
_cell_length_a 4.332
_cell_length_b 4.332
_cell_length_c 14.260
_cell_angle_alpha 90.00
_cell_angle_beta 90.00
_cell_angle_gamma 90.00
_space_group_name_H-M_alt 'P 1'
_space_group_IT_number 1
loop_
_space_group_symop_operation_xyz
'x,y,z'
loop_
_atom_site_label
_atom_site_type_symbol
_atom_site_fract_x
_atom_site_fract_y
_atom_site_fract_z
Cs1 Cs 0.750 0.750 0.237
Cs2 Cs 0.250 0.250 0.763
Ge1 Ge 0.750 0.750 0.918
Ge2 Ge 0.250 0.250 0.082
Rh1 Rh 0.750 0.250 0.000
Rh2 Rh 0.250 0.750 0.000
Pb1 Pb 0.250 0.750 0.500
Pb2 Pb 0.750 0.250 0.500
```

- VASP energy (eV/atom) = -4.38
- total magnetization (μB per atom) = 0.000
- calculated volume (Å³/atom) = 33.45
- DOS at the Fermi energy (states/eV/cell) = 5.1
- calculated formation energy (eV/f.u.) = -0.970